Entry 1:
A relaxed Tb3YHo2 crystal, computed with PBE-GGA.

Unit cell a=7.164 b=7.167 c=8.809 alpha=90.06 beta=101.71 gamma=119.96
Sites, in units of the cell vectors:
Tb1 0.000 0.250 0.000
Tb2 0.000 0.750 0.000
Tb3 0.221 0.361 0.665
Tb4 0.278 0.639 0.334
Tb5 0.722 0.361 0.666
Tb6 0.779 0.639 0.335
Y1 0.500 0.250 0.000
Y2 0.500 0.750 0.000
Ho1 0.222 0.861 0.665
Ho2 0.277 0.138 0.334
Ho3 0.723 0.862 0.666
Ho4 0.778 0.139 0.335

Values from the calculation:
energy relative to the elements = 0.00 eV per atom
V = 380.9 Å³/cell
symmetry = No. 2
mass density = 7.81 g/cm³
electronic total energy = -4.918 eV/atom
M_tot = 0.000 μB/atom

=====

Entry 2:
A relaxed Tb4YHo2 crystal, computed with PBE-GGA.

Unit cell a=8.560 b=8.560 c=8.721 alpha=118.88 beta=118.88 gamma=23.79
Sites, in units of the cell vectors:
Tb1 0.140 0.140 0.334
Tb2 0.205 0.205 0.795
Tb3 0.795 0.795 0.205
Tb4 0.860 0.860 0.666
Y1 0.500 0.500 0.500
Ho1 0.430 0.430 0.070
Ho2 0.570 0.570 0.930

Values from the calculation:
energy relative to the elements = 0.04 eV per atom
V = 224.1 Å³/cell
symmetry = No. 12
mass density = 7.81 g/cm³
electronic total energy = -4.840 eV/atom
M_tot = 0.000 μB/atom

=====

Entry 3:
A relaxed Tb8YHo6 crystal, computed with PBE-GGA.

Unit cell a=9.810 b=9.810 c=5.789 alpha=90.00 beta=90.00 gamma=120.00
Sites, in units of the cell vectors:
Tb1 0.091 0.467 0.236
Tb2 0.333 0.667 0.725
Tb3 0.376 0.909 0.236
Tb4 0.467 0.376 0.764
Tb5 0.533 0.624 0.236
Tb6 0.624 0.091 0.764
Tb7 0.667 0.333 0.275
Tb8 0.909 0.533 0.764
Y1 0.000 0.000 0.000
Ho1 0.050 0.274 0.722
Ho2 0.224 0.950 0.722
Ho3 0.274 0.224 0.278
Ho4 0.726 0.776 0.722
Ho5 0.776 0.050 0.278
Ho6 0.950 0.726 0.278

Values from the calculation:
energy relative to the elements = 0.17 eV per atom
V = 482.5 Å³/cell
symmetry = No. 147
mass density = 8.09 g/cm³
electronic total energy = -4.559 eV/atom
M_tot = 0.000 μB/atom

=====

Entry 4:
A relaxed Tb3Y4Ho4 crystal, computed with PBE-GGA.

Unit cell a=3.493 b=5.614 c=18.100 alpha=81.10 beta=84.48 gamma=89.99
Sites, in units of the cell vectors:
Tb1 0.000 0.000 0.000
Tb2 0.136 0.636 0.727
Tb3 0.864 0.364 0.273
Y1 0.267 0.267 0.466
Y2 0.409 0.910 0.181
Y3 0.591 0.090 0.819
Y4 0.733 0.733 0.534
Ho1 0.320 0.820 0.361
Ho2 0.455 0.455 0.091
Ho3 0.545 0.545 0.909
Ho4 0.680 0.180 0.639

Values from the calculation:
energy relative to the elements = 0.06 eV per atom
V = 349.0 Å³/cell
symmetry = No. 2
mass density = 7.10 g/cm³
electronic total energy = -5.218 eV/atom
M_tot = 0.000 μB/atom

=====

Entry 5:
A relaxed Tb7YHo12 crystal, computed with PBE-GGA.

Unit cell a=9.703 b=9.703 c=9.703 alpha=109.47 beta=109.47 gamma=109.47
Sites, in units of the cell vectors:
Tb1 0.000 0.000 0.500
Tb2 0.000 0.500 0.000
Tb3 0.000 0.500 0.500
Tb4 0.500 0.000 0.000
Tb5 0.500 0.000 0.500
Tb6 0.500 0.500 0.000
Tb7 0.500 0.500 0.500
Y1 0.000 0.000 0.000
Ho1 0.000 0.250 0.750
Ho2 0.000 0.750 0.250
Ho3 0.250 0.000 0.750
Ho4 0.250 0.250 0.500
Ho5 0.250 0.500 0.250
Ho6 0.250 0.750 0.000
Ho7 0.500 0.250 0.250
Ho8 0.500 0.750 0.750
Ho9 0.750 0.000 0.250
Ho10 0.750 0.250 0.000
Ho11 0.750 0.500 0.750
Ho12 0.750 0.750 0.500

Values from the calculation:
energy relative to the elements = 0.71 eV per atom
V = 703.2 Å³/cell
symmetry = No. 229
mass density = 7.51 g/cm³
electronic total energy = -3.984 eV/atom
M_tot = 0.000 μB/atom

=====

Entry 6:
A relaxed TbY4Ho6 crystal, computed with PBE-GGA.

Unit cell a=9.699 b=9.699 c=9.699 alpha=140.62 beta=140.62 gamma=56.91
Sites, in units of the cell vectors:
Tb1 0.000 0.000 0.000
Y1 0.013 0.639 0.000
Y2 0.361 0.361 0.374
Y3 0.639 0.013 0.000
Y4 0.987 0.987 0.626
Ho1 0.000 0.500 0.500
Ho2 0.192 0.192 0.643
Ho3 0.451 0.808 0.000
Ho4 0.500 0.000 0.500
Ho5 0.549 0.549 0.357
Ho6 0.808 0.451 0.000

Values from the calculation:
energy relative to the elements = 0.30 eV per atom
V = 364.2 Å³/cell
symmetry = No. 121
mass density = 6.86 g/cm³
electronic total energy = -4.968 eV/atom
M_tot = 0.000 μB/atom

=====

Entry 7:
A relaxed Tb9Y3Ho2 crystal, computed with PBE-GGA.

Unit cell a=6.247 b=8.691 c=8.775 alpha=80.07 beta=77.23 gamma=88.01
Sites, in units of the cell vectors:
Tb1 0.000 0.000 0.000
Tb2 0.091 0.311 0.197
Tb3 0.197 0.613 0.399
Tb4 0.346 0.667 0.996
Tb5 0.495 0.241 0.417
Tb6 0.505 0.759 0.583
Tb7 0.654 0.333 0.004
Tb8 0.803 0.387 0.601
Tb9 0.909 0.689 0.803
Y1 0.000 0.000 0.500
Y2 0.245 0.376 0.775
Y3 0.755 0.624 0.225
Ho1 0.448 0.967 0.199
Ho2 0.552 0.033 0.801

Values from the calculation:
energy relative to the elements = 0.12 eV per atom
V = 457.7 Å³/cell
symmetry = No. 2
mass density = 7.35 g/cm³
electronic total energy = -4.900 eV/atom
M_tot = 0.000 μB/atom

=====

Entry 8:
A relaxed Tb6YHo4 crystal, computed with PBE-GGA.

Unit cell a=5.587 b=5.587 c=25.540 alpha=90.00 beta=90.00 gamma=118.40
Sites, in units of the cell vectors:
Tb1 0.000 0.000 0.000
Tb2 0.000 0.000 0.500
Tb3 0.035 0.965 0.750
Tb4 0.303 0.697 0.103
Tb5 0.303 0.697 0.397
Tb6 0.367 0.633 0.682
Tb7 0.367 0.633 0.818
Tb8 0.633 0.367 0.182
Tb9 0.633 0.367 0.318
Tb10 0.697 0.303 0.603
Tb11 0.697 0.303 0.897
Tb12 0.965 0.035 0.250
Y1 0.301 0.699 0.250
Y2 0.699 0.301 0.750
Ho1 0.038 0.962 0.622
Ho2 0.038 0.962 0.878
Ho3 0.347 0.653 0.543
Ho4 0.347 0.653 0.957
Ho5 0.653 0.347 0.043
Ho6 0.653 0.347 0.457
Ho7 0.962 0.038 0.122
Ho8 0.962 0.038 0.378

Values from the calculation:
energy relative to the elements = 0.13 eV per atom
V = 701.3 Å³/cell
symmetry = No. 63
mass density = 8.06 g/cm³
electronic total energy = -4.652 eV/atom
M_tot = 0.000 μB/atom

=====

Entry 9:
A relaxed TbYHo2 crystal, computed with PBE-GGA.

Unit cell a=6.699 b=6.699 c=6.699 alpha=148.59 beta=65.45 gamma=124.19
Sites, in units of the cell vectors:
Tb1 0.000 0.000 0.000
Y1 0.500 0.000 0.500
Ho1 0.082 0.332 0.749
Ho2 0.583 0.332 0.251

Values from the calculation:
energy relative to the elements = 0.01 eV per atom
V = 128.1 Å³/cell
symmetry = No. 44
mass density = 7.49 g/cm³
electronic total energy = -5.057 eV/atom
M_tot = 0.000 μB/atom

=====

Entry 10:
A relaxed Tb4Y8Ho crystal, computed with PBE-GGA.

Unit cell a=10.099 b=10.099 c=10.099 alpha=42.38 beta=42.38 gamma=42.38
Sites, in units of the cell vectors:
Tb1 0.000 0.000 0.000
Tb2 0.000 0.500 0.500
Tb3 0.500 0.000 0.500
Tb4 0.500 0.500 0.000
Y1 0.200 0.750 0.750
Y2 0.215 0.215 0.215
Y3 0.250 0.250 0.800
Y4 0.250 0.800 0.250
Y5 0.750 0.200 0.750
Y6 0.750 0.750 0.200
Y7 0.785 0.785 0.785
Y8 0.800 0.250 0.250
Ho1 0.500 0.500 0.500

Values from the calculation:
energy relative to the elements = 0.22 eV per atom
V = 423.5 Å³/cell
symmetry = No. 166
mass density = 5.93 g/cm³
electronic total energy = -5.539 eV/atom
M_tot = 0.000 μB/atom

=====

Entry 11:
A relaxed Tb2YHo7 crystal, computed with PBE-GGA.

Unit cell a=9.578 b=9.578 c=5.201 alpha=90.00 beta=90.00 gamma=126.29
Sites, in units of the cell vectors:
Tb1 0.202 0.798 0.000
Tb2 0.798 0.202 0.000
Y1 0.500 0.500 0.500
Ho1 0.000 0.000 0.000
Ho2 0.212 0.430 0.000
Ho3 0.303 0.697 0.500
Ho4 0.430 0.212 0.000
Ho5 0.570 0.788 0.000
Ho6 0.697 0.303 0.500
Ho7 0.788 0.570 0.000

Values from the calculation:
energy relative to the elements = 0.70 eV per atom
V = 384.6 Å³/cell
symmetry = No. 65
mass density = 6.74 g/cm³
electronic total energy = -4.079 eV/atom
M_tot = 0.000 μB/atom

=====

Entry 12:
A relaxed Tb5YHo4 crystal, computed with PBE-GGA.

Unit cell a=7.853 b=7.853 c=7.853 alpha=99.16 beta=99.16 gamma=132.97
Sites, in units of the cell vectors:
Tb1 0.000 0.000 0.000
Tb2 0.034 0.414 0.914
Tb3 0.120 0.034 0.620
Tb4 0.414 0.500 0.380
Tb5 0.500 0.120 0.086
Y1 0.541 0.541 0.000
Ho1 0.116 0.720 0.299
Ho2 0.421 0.816 0.701
Ho3 0.720 0.421 0.604
Ho4 0.816 0.116 0.396

Values from the calculation:
energy relative to the elements = 0.31 eV per atom
V = 324.9 Å³/cell
symmetry = No. 79
mass density = 7.89 g/cm³
electronic total energy = -4.485 eV/atom
M_tot = 0.000 μB/atom

=====

Entry 13:
A relaxed Tb6YHo12 crystal, computed with PBE-GGA.

Unit cell a=8.499 b=8.499 c=8.499 alpha=88.38 beta=88.38 gamma=88.38
Sites, in units of the cell vectors:
Tb1 0.188 0.757 0.591
Tb2 0.243 0.409 0.812
Tb3 0.409 0.812 0.243
Tb4 0.591 0.188 0.757
Tb5 0.757 0.591 0.188
Tb6 0.812 0.243 0.409
Y1 0.500 0.500 0.500
Ho1 0.043 0.936 0.273
Ho2 0.064 0.727 0.957
Ho3 0.145 0.490 0.291
Ho4 0.273 0.043 0.936
Ho5 0.291 0.145 0.490
Ho6 0.490 0.291 0.145
Ho7 0.510 0.709 0.855
Ho8 0.709 0.855 0.510
Ho9 0.727 0.957 0.064
Ho10 0.855 0.510 0.709
Ho11 0.936 0.273 0.043
Ho12 0.957 0.064 0.727

Values from the calculation:
energy relative to the elements = 0.16 eV per atom
V = 613.1 Å³/cell
symmetry = No. 148
mass density = 8.18 g/cm³
electronic total energy = -4.535 eV/atom
M_tot = 0.000 μB/atom

=====

Entry 14:
A relaxed TbY3Ho3 crystal, computed with PBE-GGA.

Unit cell a=14.595 b=14.595 c=14.595 alpha=24.40 beta=24.40 gamma=24.40
Sites, in units of the cell vectors:
Tb1 0.167 0.167 0.167
Tb2 0.833 0.833 0.833
Y1 0.099 0.433 0.767
Y2 0.233 0.901 0.567
Y3 0.433 0.767 0.099
Y4 0.567 0.233 0.901
Y5 0.767 0.099 0.433
Y6 0.901 0.567 0.233
Ho1 0.035 0.698 0.367
Ho2 0.302 0.633 0.965
Ho3 0.367 0.035 0.698
Ho4 0.633 0.965 0.302
Ho5 0.698 0.367 0.035
Ho6 0.965 0.302 0.633

Values from the calculation:
energy relative to the elements = 0.14 eV per atom
V = 466.4 Å³/cell
symmetry = No. 148
mass density = 6.55 g/cm³
electronic total energy = -5.251 eV/atom
M_tot = 0.000 μB/atom

=====

Entry 15:
A relaxed TbY4Ho4 crystal, computed with PBE-GGA.

Unit cell a=7.940 b=7.940 c=7.940 alpha=95.72 beta=95.72 gamma=143.20
Sites, in units of the cell vectors:
Tb1 0.000 0.000 0.000
Y1 0.333 0.333 0.666
Y2 0.333 0.667 0.000
Y3 0.667 0.333 0.000
Y4 0.667 0.667 0.334
Ho1 0.000 0.335 0.335
Ho2 0.000 0.665 0.665
Ho3 0.335 0.000 0.335
Ho4 0.665 0.000 0.665

Values from the calculation:
energy relative to the elements = 0.02 eV per atom
V = 284.6 Å³/cell
symmetry = No. 139
mass density = 6.85 g/cm³
electronic total energy = -5.399 eV/atom
M_tot = 0.000 μB/atom

=====

Entry 16:
A relaxed TbY3Ho crystal, computed with PBE-GGA.

Unit cell a=8.768 b=8.768 c=9.613 alpha=94.29 beta=94.29 gamma=117.49
Sites, in units of the cell vectors:
Tb1 0.024 0.976 0.750
Tb2 0.408 0.592 0.250
Tb3 0.592 0.408 0.750
Tb4 0.976 0.024 0.250
Y1 0.018 0.570 0.683
Y2 0.121 0.753 0.056
Y3 0.247 0.879 0.444
Y4 0.293 0.506 0.882
Y5 0.430 0.982 0.817
Y6 0.494 0.707 0.618
Y7 0.506 0.293 0.382
Y8 0.570 0.018 0.183
Y9 0.707 0.494 0.118
Y10 0.753 0.121 0.556
Y11 0.879 0.247 0.944
Y12 0.982 0.430 0.317
Ho1 0.196 0.298 0.546
Ho2 0.298 0.196 0.046
Ho3 0.702 0.804 0.954
Ho4 0.804 0.702 0.454

Values from the calculation:
energy relative to the elements = 0.12 eV per atom
V = 648.8 Å³/cell
symmetry = No. 15
mass density = 6.05 g/cm³
electronic total energy = -5.600 eV/atom
M_tot = 0.000 μB/atom

=====

Entry 17:
A relaxed Tb8Y4Ho crystal, computed with PBE-GGA.

Unit cell a=7.775 b=7.775 c=7.775 alpha=90.19 beta=90.19 gamma=90.19
Sites, in units of the cell vectors:
Tb1 0.241 0.241 0.241
Tb2 0.241 0.241 0.757
Tb3 0.241 0.757 0.241
Tb4 0.243 0.759 0.759
Tb5 0.757 0.241 0.241
Tb6 0.759 0.243 0.759
Tb7 0.759 0.759 0.243
Tb8 0.759 0.759 0.759
Y1 0.000 0.000 0.000
Y2 0.000 0.500 0.500
Y3 0.500 0.000 0.500
Y4 0.500 0.500 0.000
Ho1 0.500 0.500 0.500

Values from the calculation:
energy relative to the elements = 0.52 eV per atom
V = 469.9 Å³/cell
symmetry = No. 166
mass density = 6.33 g/cm³
electronic total energy = -4.675 eV/atom
M_tot = 0.001 μB/atom

=====

Entry 18:
A relaxed Tb19Y4Ho6 crystal, computed with PBE-GGA.

Unit cell a=10.802 b=10.802 c=10.802 alpha=109.47 beta=109.47 gamma=109.47
Sites, in units of the cell vectors:
Tb1 0.000 0.000 0.000
Tb2 0.000 0.262 0.262
Tb3 0.000 0.738 0.738
Tb4 0.016 0.215 0.675
Tb5 0.199 0.984 0.659
Tb6 0.215 0.675 0.016
Tb7 0.262 0.000 0.262
Tb8 0.262 0.262 0.000
Tb9 0.325 0.540 0.341
Tb10 0.341 0.325 0.540
Tb11 0.460 0.785 0.801
Tb12 0.540 0.341 0.325
Tb13 0.659 0.199 0.984
Tb14 0.675 0.016 0.215
Tb15 0.738 0.000 0.738
Tb16 0.738 0.738 0.000
Tb17 0.785 0.801 0.460
Tb18 0.801 0.460 0.785
Tb19 0.984 0.659 0.199
Y1 0.000 0.000 0.358
Y2 0.000 0.358 0.000
Y3 0.358 0.000 0.000
Y4 0.642 0.642 0.642
Ho1 0.127 0.500 0.627
Ho2 0.373 0.873 0.500
Ho3 0.500 0.373 0.873
Ho4 0.500 0.627 0.127
Ho5 0.627 0.127 0.500
Ho6 0.873 0.500 0.373

Values from the calculation:
energy relative to the elements = 0.39 eV per atom
V = 970.3 Å³/cell
symmetry = No. 197
mass density = 7.47 g/cm³
electronic total energy = -4.479 eV/atom
M_tot = 0.001 μB/atom